CaNd5Al4 | the Alexandria database | PBE-GGA | relaxed; calculated formation energy = -0.26 eV/atom; ρ = 5.05 g/cm³
1.0
-2.7616 2.3135 -0.8795
-2.1335 -2.8931 -0.9112
-7.0297 -0.9671 19.5294
Nd Al Ca
5 4 1
direct
0.5000 0.5000 0.3195
0.5000 0.5000 0.5000
0.5000 0.5000 0.1399
0.5000 0.5000 0.8601
0.5000 0.5000 0.6805
0.0000 0.0000 0.4097
0.0000 0.0000 0.5903
0.0000 0.0000 0.7732
0.0000 0.0000 0.2268
0.0000 0.0000 0.0000